Cd2Pt | PBE | relaxed

Results
E_form: -246 meV per atom

a b c (Å): 8.7605 8.7605 8.7605
angles (deg): 60.00 60.00 60.00
Positions (direct):
Cd  0.0000  0.0000  0.0000
Cd  0.0000  0.0000  0.5000
Cd  0.0000  0.5000  0.0000
Cd  0.1844  0.1844  0.5656
Cd  0.1844  0.5656  0.1844
Cd  0.1844  0.5656  0.5656
Cd  0.4344  0.4344  0.8156
Cd  0.4344  0.8156  0.4344
Cd  0.4344  0.8156  0.8156
Cd  0.5000  0.0000  0.0000
Cd  0.5656  0.1844  0.1844
Cd  0.5656  0.1844  0.5656
Cd  0.5656  0.5656  0.1844
Cd  0.8156  0.4344  0.4344
Cd  0.8156  0.4344  0.8156
Cd  0.8156  0.8156  0.4344
Pt  0.1557  0.7814  0.7814
Pt  0.2186  0.2186  0.2186
Pt  0.2186  0.2186  0.8443
Pt  0.2186  0.8443  0.2186
Pt  0.7814  0.1557  0.7814
Pt  0.7814  0.7814  0.1557
Pt  0.7814  0.7814  0.7814
Pt  0.8443  0.2186  0.2186


CdPt2 | PBE | relaxed

Results
E_form: -241 meV per atom

a b c (Å): 12.5209 12.5209 12.5209
angles (deg): 161.29 161.29 26.58
Positions (direct):
Cd  0.2935  0.5435  0.7500
Cd  0.4565  0.7065  0.7500
Cd  0.5435  0.2935  0.2500
Cd  0.7065  0.4565  0.2500
Pt  0.0424  0.7924  0.2500
Pt  0.1241  0.3741  0.7500
Pt  0.2076  0.9576  0.2500
Pt  0.3741  0.1241  0.2500
Pt  0.6259  0.8759  0.7500
Pt  0.7924  0.0424  0.7500
Pt  0.8759  0.6259  0.2500
Pt  0.9576  0.2076  0.7500


CdPt2 | PBE | relaxed

Results
E_form: -187 meV per atom

a b c (Å): 10.7182 2.8658 6.8869
angles (deg): 90.00 106.43 90.00
Positions (direct):
Cd  0.0267  0.0000  0.2975
Cd  0.4733  0.5000  0.7025
Cd  0.5267  0.5000  0.2975
Cd  0.9733  0.0000  0.7025
Pt  0.1436  0.5000  0.0261
Pt  0.1966  0.5000  0.6392
Pt  0.3034  0.0000  0.3608
Pt  0.3564  0.0000  0.9739
Pt  0.6436  0.0000  0.0261
Pt  0.6966  0.0000  0.6392
Pt  0.8034  0.5000  0.3608
Pt  0.8564  0.5000  0.9739


CdPt3 | PBE | relaxed

Results
E_form: -204 meV per atom

a b c (Å): 5.8021 7.9580 2.8472
angles (deg): 90.00 90.00 90.00
Positions (direct):
Cd  0.0000  0.0000  0.0000
Cd  0.5000  0.5000  0.0000
Pt  0.0000  0.5000  0.0000
Pt  0.2500  0.2500  0.5000
Pt  0.2500  0.7500  0.5000
Pt  0.5000  0.0000  0.0000
Pt  0.7500  0.2500  0.5000
Pt  0.7500  0.7500  0.5000


CdPt2 | PBE | relaxed

Results
E_form: -135 meV per atom

a b c (Å): 7.9126 7.9126 2.8153
angles (deg): 90.00 90.00 120.00
Positions (direct):
Cd  0.0000  0.0000  0.0000
Cd  0.3333  0.6667  0.5000
Cd  0.6667  0.3333  0.5000
Pt  0.0000  0.3081  0.5000
Pt  0.0000  0.6404  0.0000
Pt  0.3081  0.0000  0.5000
Pt  0.3596  0.3596  0.0000
Pt  0.6404  0.0000  0.0000
Pt  0.6919  0.6919  0.5000


CdPt2 | PBE | relaxed

Results
E_form: 279 meV per atom

a b c (Å): 6.2059 6.2059 6.2059
angles (deg): 90.00 90.00 90.00
Positions (direct):
Cd  0.0000  0.0000  0.0000
Cd  0.0000  0.5000  0.5000
Cd  0.5000  0.0000  0.5000
Cd  0.5000  0.5000  0.0000
Pt  0.2500  0.2500  0.2500
Pt  0.2500  0.2500  0.7500
Pt  0.2500  0.7500  0.2500
Pt  0.2500  0.7500  0.7500
Pt  0.7500  0.2500  0.2500
Pt  0.7500  0.2500  0.7500
Pt  0.7500  0.7500  0.2500
Pt  0.7500  0.7500  0.7500


Cd2Pt | PBE | relaxed

Results
E_form: -200 meV per atom

a b c (Å): 3.0107 3.0107 26.0834
angles (deg): 90.00 90.00 90.00
Positions (direct):
Cd  0.0000  0.2500  0.3008
Cd  0.0000  0.2500  0.4492
Cd  0.0000  0.7500  0.5508
Cd  0.0000  0.7500  0.6992
Cd  0.5000  0.2500  0.0508
Cd  0.5000  0.2500  0.1992
Cd  0.5000  0.7500  0.8008
Cd  0.5000  0.7500  0.9492
Pt  0.0000  0.2500  0.8750
Pt  0.0000  0.7500  0.1250
Pt  0.5000  0.2500  0.6250
Pt  0.5000  0.7500  0.3750


Cd2Pt3 | PBE | relaxed

Results
E_form: -189 meV per atom

a b c (Å): 7.3899 5.4953 8.4062
angles (deg): 59.96 40.07 79.97
Positions (direct):
Cd  0.2567  0.7433  0.3463
Cd  0.5963  0.9037  0.5067
Cd  0.7433  0.2567  0.6537
Cd  0.9037  0.5963  0.9933
Pt  0.1331  0.8135  0.0768
Pt  0.1732  0.2734  0.1169
Pt  0.2734  0.1732  0.4365
Pt  0.3992  0.3992  0.6008
Pt  0.6492  0.6492  0.8508
Pt  0.8135  0.1331  0.9766


CdPt3 | PBE | relaxed

Results
E_form: -176 meV per atom

a b c (Å): 9.4324 2.8697 4.9508
angles (deg): 90.00 99.91 90.00
Positions (direct):
Cd  0.0000  0.0000  0.0000
Cd  0.5000  0.5000  0.0000
Pt  0.0000  0.5000  0.5000
Pt  0.2483  0.0000  0.7434
Pt  0.2517  0.5000  0.2566
Pt  0.5000  0.0000  0.5000
Pt  0.7483  0.5000  0.7434
Pt  0.7517  0.0000  0.2566


CdPt2 | PBE | relaxed

Results
E_form: 78 meV per atom

a b c (Å): 3.6108 3.6108 17.8320
angles (deg): 90.00 90.00 90.00
Positions (direct):
Cd  0.0000  0.2500  0.3750
Cd  0.0000  0.7500  0.6250
Cd  0.5000  0.2500  0.1250
Cd  0.5000  0.7500  0.8750
Pt  0.0000  0.2500  0.8022
Pt  0.0000  0.2500  0.9478
Pt  0.0000  0.7500  0.0522
Pt  0.0000  0.7500  0.1978
Pt  0.5000  0.2500  0.5522
Pt  0.5000  0.2500  0.6978
Pt  0.5000  0.7500  0.3022
Pt  0.5000  0.7500  0.4478


Cd2Pt | PBE | relaxed

Results
E_form: -214 meV per atom

a b c (Å): 9.7654 3.0168 7.8297
angles (deg): 90.00 90.05 90.00
Positions (direct):
Cd  0.0000  0.0000  0.0000
Cd  0.0758  0.5000  0.3241
Cd  0.2636  0.0000  0.8239
Cd  0.3396  0.5000  0.4998
Cd  0.5000  0.5000  0.0000
Cd  0.5758  0.0000  0.3241
Cd  0.7636  0.5000  0.8239
Cd  0.8396  0.0000  0.4998
Pt  0.0416  0.5000  0.6864
Pt  0.2976  0.0000  0.1862
Pt  0.5416  0.0000  0.6864
Pt  0.7976  0.5000  0.1862


CdPt3 | PBE | relaxed

Results
E_form: -156 meV per atom

a b c (Å): 2.8352 9.5098 4.9038
angles (deg): 90.00 90.00 90.00
Positions (direct):
Cd  0.0000  0.0000  0.0000
Cd  0.5000  0.5000  0.5000
Pt  0.0000  0.2469  0.6622
Pt  0.0000  0.5000  0.9951
Pt  0.0000  0.7531  0.6622
Pt  0.5000  0.0000  0.4951
Pt  0.5000  0.2531  0.1622
Pt  0.5000  0.7469  0.1622